A plane-wave DFT calculation with SCAN was carried out for a crystal of KNi2 relaxed with PBEsol.

```
KNi2
1.0
4.639 0.000 0.000
-2.320 4.018 0.000
0.000 0.000 2.648
K Ni
1 2
direct
0.000 0.000 0.000
0.333 0.667 0.500
0.667 0.333 0.500
```

VASP energy = -12.408 eV per atom
N(E_F) = 1.3781 states/eV per atom
Size of the total moment = 1.214 μB/cell
Calculated formation energy = 1150.4 meV/atom